Entry 1:
Density functional theory data (PBE) for an optimized crystal structure of Al2HgOs.

## Properties
Raw total energy = -4.68 eV/atom
DOS(E_F) = 0.241 states/eV/atom
Symmetry = I4/mmm, No. 139
Energy relative to the elements = 0.0790 eV/atom

Geometry as CIF:
```
data_Al2HgOs
_chemical_formula_sum 'Al2 Hg1 Os1'
_symmetry_space_group_name_H-M 'P 1'
_symmetry_Int_Tables_number 1
_cell_length_a 4.820
_cell_length_b 4.820
_cell_length_c 4.820
_cell_angle_alpha 130.39
_cell_angle_beta 130.39
_cell_angle_gamma 72.79
loop_
_symmetry_equiv_pos_as_xyz
'x,y,z'
loop_
_atom_site_label
_atom_site_fract_x
_atom_site_fract_y
_atom_site_fract_z
Os1 0.250 0.750 0.500
Hg1 0.750 0.250 0.500
Al1 0.000 0.000 0.000
Al2 0.500 0.500 0.000
```

Entry 2:
Density functional theory data (PBE) for an optimized crystal structure of KHg2IO6.

## Properties
Energy relative to the elements, uncorrected = -552 meV/atom
Raw total energy = -3.85 eV/atom
Symmetry = R-3, No. 148

Geometry as CIF:
```
data_KHg2IO6
_chemical_formula_sum 'K1 Hg2 I1 O6'
_symmetry_space_group_name_H-M 'P 1'
_symmetry_Int_Tables_number 1
_cell_length_a 5.774
_cell_length_b 5.775
_cell_length_c 6.860
_cell_angle_alpha 65.11
_cell_angle_beta 65.11
_cell_angle_gamma 60.00
loop_
_symmetry_equiv_pos_as_xyz
'x,y,z'
loop_
_atom_site_label
_atom_site_fract_x
_atom_site_fract_y
_atom_site_fract_z
K1 0.816 0.816 0.551
Hg1 0.608 0.608 0.175
Hg2 0.024 0.024 0.928
I1 0.316 0.316 0.052
O1 0.540 0.229 0.236
O2 0.229 0.995 0.236
O3 0.995 0.540 0.236
O4 0.403 0.637 0.867
O5 0.637 0.092 0.867
O6 0.092 0.403 0.867
```

Entry 3:
Density functional theory data (PBE) for an optimized crystal structure of Ba2OsPt.

## Properties
Raw total energy = -4.95 eV/atom
Relative energy among the computed polymorphs = 0.344 eV per atom
DOS(E_F) = 1.418 states/eV/atom
Symmetry = P4mm, No. 99
Energy relative to the elements = 0.3256 eV/atom

Geometry as CIF:
```
data_Ba2OsPt
_chemical_formula_sum 'Ba2 Os1 Pt1'
_symmetry_space_group_name_H-M 'P 1'
_symmetry_Int_Tables_number 1
_cell_length_a 3.663
_cell_length_b 3.663
_cell_length_c 9.417
_cell_angle_alpha 90.00
_cell_angle_beta 90.00
_cell_angle_gamma 90.00
loop_
_symmetry_equiv_pos_as_xyz
'x,y,z'
loop_
_atom_site_label
_atom_site_fract_x
_atom_site_fract_y
_atom_site_fract_z
Os1 0.000 0.000 0.593
Ba1 0.000 0.000 0.905
Ba2 0.500 0.500 0.340
Pt1 0.500 0.500 0.663
```

Entry 4:
Density functional theory data (PBE) for an optimized crystal structure of PuNpGaGe.

## Properties
Raw total energy = -8.83 eV/atom
DOS(E_F) = 2.699 states/eV/atom
Symmetry = F-43m, No. 216
Energy relative to the elements = -0.1045 eV/atom

Geometry as CIF:
```
data_PuNpGaGe
_chemical_formula_sum 'Pu1 Np1 Ga1 Ge1'
_symmetry_space_group_name_H-M 'P 1'
_symmetry_Int_Tables_number 1
_cell_length_a 5.008
_cell_length_b 5.008
_cell_length_c 5.008
_cell_angle_alpha 60.00
_cell_angle_beta 60.00
_cell_angle_gamma 60.00
loop_
_symmetry_equiv_pos_as_xyz
'x,y,z'
loop_
_atom_site_label
_atom_site_fract_x
_atom_site_fract_y
_atom_site_fract_z
Np1 0.000 0.000 0.000
Ge1 0.250 0.250 0.250
Ga1 0.750 0.750 0.750
Pu1 0.500 0.500 0.500
```

Entry 5:
Density functional theory data (PBE) for an optimized crystal structure of ZrRu2Br.

## Properties
Energy relative to the elements, uncorrected = -14 meV/atom
Raw total energy = -7.21 eV/atom
Relative energy among the computed polymorphs = 0.000 eV per atom
DOS(E_F) = 0.691 states/eV/atom
Symmetry = Amm2, No. 38

Geometry as CIF:
```
data_ZrRu2Br
_chemical_formula_sum 'Zr1 Ru2 Br1'
_symmetry_space_group_name_H-M 'P 1'
_symmetry_Int_Tables_number 1
_cell_length_a 3.586
_cell_length_b 3.141
_cell_length_c 7.430
_cell_angle_alpha 77.81
_cell_angle_beta 90.00
_cell_angle_gamma 90.00
loop_
_symmetry_equiv_pos_as_xyz
'x,y,z'
loop_
_atom_site_label
_atom_site_fract_x
_atom_site_fract_y
_atom_site_fract_z
Ru1 0.000 0.759 0.108
Ru2 0.500 0.200 0.225
Br1 0.500 0.959 0.706
Zr1 0.000 0.582 0.461
```

Entry 6:
Density functional theory data (PBE) for an optimized crystal structure of Tc2PtW.

## Properties
Raw total energy = -9.95 eV/atom
Relative energy among the computed polymorphs = 0.149 eV per atom
DOS(E_F) = 1.282 states/eV/atom
Symmetry = C2/m, No. 12
Energy relative to the elements = -0.0160 eV/atom

Geometry as CIF:
```
data_Tc2PtW
_chemical_formula_sum 'Tc2 Pt1 W1'
_symmetry_space_group_name_H-M 'P 1'
_symmetry_Int_Tables_number 1
_cell_length_a 4.798
_cell_length_b 4.798
_cell_length_c 4.863
_cell_angle_alpha 80.44
_cell_angle_beta 80.44
_cell_angle_gamma 33.40
loop_
_symmetry_equiv_pos_as_xyz
'x,y,z'
loop_
_atom_site_label
_atom_site_fract_x
_atom_site_fract_y
_atom_site_fract_z
Pt1 0.750 0.750 0.750
Tc1 0.998 0.998 0.998
Tc2 0.502 0.502 0.502
W1 0.250 0.250 0.250
```

Entry 7:
Density functional theory data (PBE) for an optimized crystal structure of MgGe2Cl.

## Properties
Energy relative to the elements, uncorrected = 235 meV/atom
Raw total energy = -2.93 eV/atom
Relative energy among the computed polymorphs = 0.469 eV per atom
DOS(E_F) = 1.162 states/eV/atom
Symmetry = Fm-3m, No. 225

Geometry as CIF:
```
data_MgGe2Cl
_chemical_formula_sum 'Mg1 Ge2 Cl1'
_symmetry_space_group_name_H-M 'P 1'
_symmetry_Int_Tables_number 1
_cell_length_a 4.916
_cell_length_b 4.916
_cell_length_c 4.916
_cell_angle_alpha 60.00
_cell_angle_beta 60.00
_cell_angle_gamma 60.00
loop_
_symmetry_equiv_pos_as_xyz
'x,y,z'
loop_
_atom_site_label
_atom_site_fract_x
_atom_site_fract_y
_atom_site_fract_z
Ge1 0.250 0.250 0.250
Ge2 0.750 0.750 0.750
Mg1 0.000 0.000 0.000
Cl1 0.500 0.500 0.500
```

Entry 8:
Density functional theory data (PBE) for an optimized crystal structure of SrMgRe2.

## Properties
Raw total energy = -6.36 eV/atom
DOS(E_F) = 0.723 states/eV/atom
Symmetry = Imm2, No. 44
Energy relative to the elements = 0.6851 eV/atom

Geometry as CIF:
```
data_SrMgRe2
_chemical_formula_sum 'Sr1 Mg1 Re2'
_symmetry_space_group_name_H-M 'P 1'
_symmetry_Int_Tables_number 1
_cell_length_a 5.715
_cell_length_b 5.715
_cell_length_c 5.715
_cell_angle_alpha 141.83
_cell_angle_beta 127.55
_cell_angle_gamma 66.69
loop_
_symmetry_equiv_pos_as_xyz
'x,y,z'
loop_
_atom_site_label
_atom_site_fract_x
_atom_site_fract_y
_atom_site_fract_z
Mg1 0.241 0.741 0.500
Re1 0.948 0.948 0.000
Re2 0.793 0.293 0.500
Sr1 0.518 0.518 0.000
```

For reference, volume by record: 63.5 173.1 126.4 88.8 81.8 60.7 84.0 90.1 Å³/f.u..
For reference, spin magnetization by record: 0.0 0.0 0.9 1.4 0.0 0.0 0.0 0.0 μB/f.u..